NaAcCu (GGA-PBE, optimized geometry); E_form = -0.14 eV per formula unit; energy above the most stable polymorph in this dataset = 0 meV per atom; DFT total energy = -3.2217 eV/atom
1.0
-4.116 1.533 0.069
-2.862 -1.747 2.503
1.461 9.887 9.089
Na Ac Cu
2 2 2
Direct
0.547 0.009 0.686
0.780 0.372 0.896
0.071 0.226 0.440
0.261 0.148 0.141
0.838 0.848 0.291
0.496 0.525 0.291

***

NaAcCu (GGA-PBE, optimized geometry); E_form = 0.26 eV per formula unit; energy above the most stable polymorph in this dataset = 133 meV per atom; DFT total energy = -3.0884 eV/atom
1.0
3.658 0.000 0.000
0.000 3.658 0.000
-1.829 -1.829 14.668
Cu Ac Na
2 2 2
Direct
0.270 0.270 0.540
0.730 0.730 0.460
0.167 0.167 0.334
0.833 0.833 0.666
0.560 0.560 0.120
0.440 0.440 0.880

***

- Look up the E_form of the first one.
  -0.14 eV per formula unit

***

- Which of these has the lowest DFT total energy?
  number 1